No. 1
# La12Co6Sn

An optimized crystal structure of La12Co6Sn (PBE-GGA, Alexandria).

Output
**Space-group type**: Im-3, No. 204
**ρ**: 6.79 g/cm³
**Energy relative to the elements**: -211 meV per atom

Cell: 8.7903 8.7903 8.7903 Å, 109.47 109.47 109.47°
With the nearest neighbours (Å) after each atom.
Positions (direct):
La 0.3112 0.5004 0.1893  3 Co 2.74-2.97
La 0.6888 0.8781 0.1893  3 Co 2.74-2.97
La 0.8107 0.3112 0.1219  3 Co 2.74-2.97
La 0.8107 0.6888 0.4996  3 Co 2.74-2.97
La 0.4996 0.8107 0.6888  3 Co 2.74-2.97
La 0.1893 0.3112 0.5004  3 Co 2.74-2.97
La 0.6888 0.4996 0.8107  3 Co 2.74-2.97
La 0.5004 0.1893 0.3112  3 Co 2.74-2.97
La 0.1219 0.8107 0.3112  3 Co 2.74-2.97
La 0.1893 0.6888 0.8781  3 Co 2.74-2.97
La 0.8781 0.1893 0.6888  3 Co 2.74-2.97
La 0.3112 0.1219 0.8107  3 Co 2.74-2.97
Co 0.1180 0.6180 0.5000  1 Co 2.40
Co 0.8820 0.3820 0.5000  1 Co 2.40
Co 0.5000 0.8820 0.3820  1 Co 2.40
Co 0.3820 0.5000 0.8820  1 Co 2.40
Co 0.6180 0.5000 0.1180  1 Co 2.40
Co 0.5000 0.1180 0.6180  1 Co 2.40
Sn 0.0000 0.0000 0.0000  12 La 3.70


No. 2
# La5CoSn2

An optimized crystal structure of La5CoSn2 (PBE-GGA, Alexandria).

Output
**Space-group type**: Pnma, No. 62
**ΔE to the lowest computed polymorph**: 0 meV/atom
**ρ**: 6.64 g/cm³
**Energy relative to the elements**: -541 meV per atom

Cell: 8.3176 9.2874 12.8342 Å, 90.00 90.00 90.00°
With the nearest neighbours (Å) after each atom.
Positions (direct):
La 0.3215 0.9725 0.5650  2 Co 2.80-3.11
La 0.8744 0.2500 0.1989  1 Co 2.89
La 0.1785 0.5275 0.0650  2 Co 2.80-3.11
La 0.6785 0.0275 0.4350  2 Co 2.80-3.11
La 0.4528 0.2500 0.0034  1 Co 3.17, 4 Sn 3.27-3.28, 2 La 3.53
La 0.0472 0.2500 0.5034  1 Co 3.17, 4 Sn 3.27-3.28, 2 La 3.53
La 0.5472 0.7500 0.9966  1 Co 3.17, 4 Sn 3.27-3.28, 2 La 3.53
La 0.8494 0.7500 0.2025  1 Co 2.86
La 0.1256 0.7500 0.8011  1 Co 2.89
La 0.3215 0.5275 0.5650  2 Co 2.80-3.11
La 0.8215 0.4725 0.9350  2 Co 2.80-3.11
La 0.1785 0.9725 0.0650  2 Co 2.80-3.11
La 0.6256 0.2500 0.6989  1 Co 2.89
La 0.1506 0.2500 0.7975  1 Co 2.86
La 0.6785 0.4725 0.4350  2 Co 2.80-3.11
La 0.9528 0.7500 0.4966  1 Co 3.17, 4 Sn 3.27-3.28, 2 La 3.53
La 0.3494 0.2500 0.2975  1 Co 2.86
La 0.3744 0.7500 0.3011  1 Co 2.89
La 0.8215 0.0275 0.9350  2 Co 2.80-3.11
La 0.6506 0.7500 0.7025  1 Co 2.86
Sn 0.5739 0.0057 0.1710  8 La 3.27-3.57
Sn 0.4261 0.9943 0.8290  8 La 3.27-3.57
Sn 0.9261 0.4943 0.6710  8 La 3.27-3.57
Sn 0.4261 0.5057 0.8290  8 La 3.27-3.57
Sn 0.9261 0.0057 0.6710  8 La 3.27-3.57
Sn 0.5739 0.4943 0.1710  8 La 3.27-3.57
Sn 0.0739 0.9943 0.3290  8 La 3.27-3.57
Sn 0.0739 0.5057 0.3290  8 La 3.27-3.57
Co 0.0726 0.2500 0.0144  6 La 2.80-3.11
Co 0.5726 0.7500 0.4856  6 La 2.80-3.11
Co 0.4274 0.2500 0.5144  6 La 2.80-3.11
Co 0.9274 0.7500 0.9856  6 La 2.80-3.11


No. 3
# La4CoSn8

An optimized crystal structure of La4CoSn8 (PBE-GGA, Alexandria).

Output
**Space-group type**: Pmm2, No. 25
**ρ**: 7.19 g/cm³
**Energy relative to the elements**: -624 meV per atom

Cell: 4.5317 4.6323 17.2190 Å, 90.00 90.00 90.00°
With the nearest neighbours (Å) after each atom.
Positions (direct):
La 0.5000 0.0000 0.8994  10 Sn 3.31-3.58
La 0.0000 0.0000 0.0995  10 Sn 3.32-3.61, 1 Co 3.56
La 0.5000 0.5000 0.3955  10 Sn 3.38-3.73, 4 Co 3.59
La 0.0000 0.5000 0.6034  10 Sn 3.30-3.49
Sn 0.5000 0.5000 0.7541  4 Sn 3.24, 4 La 3.41-3.45
Sn 0.0000 0.0000 0.7492  4 Sn 3.24, 4 La 3.42-3.44
Sn 0.5000 0.0000 0.5656  2 Sn 3.00, 4 La 3.30
Sn 0.5000 0.5000 0.0583  2 Sn 3.06, 4 La 3.32
Sn 0.5000 0.0000 0.2409  2 Co 2.53
Sn 0.0000 0.0000 0.4516  1 Co 2.50
Sn 0.0000 0.5000 0.2406  2 Co 2.58
Sn 0.0000 0.5000 0.9387  2 Sn 3.06, 4 La 3.31
Co 0.0000 0.0000 0.3063  5 Sn 2.50-2.58


No. 4
# La2CoSn

An optimized crystal structure of La2CoSn (PBE-GGA, Alexandria).

Output
**Space-group type**: I-42d, No. 122
**ΔE to the lowest computed polymorph**: 131 meV/atom
**ρ**: 7.15 g/cm³
**Energy relative to the elements**: -203 meV per atom

Cell: 8.1835 8.1835 6.5937 Å, 51.64 51.64 90.00°
With the nearest neighbours (Å) after each atom.
Positions (direct):
Co 0.2500 0.7500 0.5000  4 La 2.64
Co 0.5000 0.5000 0.0000  4 La 2.64
La 0.8750 0.8055 0.7500  2 Co 2.64
La 0.3750 0.4445 0.7500  2 Co 2.64
La 0.1945 0.6250 0.2500  2 Co 2.64
La 0.5555 0.1250 0.2500  2 Co 2.64
Sn 0.0000 0.0000 0.0000  2 Co 3.16, 8 La 3.41-3.46
Sn 0.7500 0.2500 0.5000  2 Co 3.16, 8 La 3.41-3.46


No. 5
# La2CoSn

An optimized crystal structure of La2CoSn (PBE-GGA, Alexandria).

Output
**Space-group type**: R-3m, No. 166
**ΔE to the lowest computed polymorph**: 338 meV/atom
**ρ**: 5.89 g/cm³
**Energy relative to the elements**: 5 meV per atom

Cell: 3.8765 3.8765 10.1232 Å, 78.96 78.96 60.00°
With the nearest neighbours (Å) after each atom.
Positions (direct):
Sn 0.0000 0.0000 0.0000  2 La 3.35
Co 0.5000 0.5000 0.5000  6 La 2.74
La 0.1130 0.1130 0.6610  3 Co 2.74
La 0.8870 0.8870 0.3390  3 Co 2.74


No. 6
# LaCoSn

An optimized crystal structure of LaCoSn (PBE-GGA, Alexandria).

Output
**Space-group type**: P-6m2, No. 187
**ρ**: 7.29 g/cm³
**Energy relative to the elements**: -360 meV per atom

Cell: 4.1330 4.4895 4.4895 Å, 120.00 90.00 90.00°
With the nearest neighbours (Å) after each atom.
Positions (direct):
Co 0.1670 0.6667 0.3333  3 Sn 2.59
La 0.6665 0.3333 0.6667  6 Co 3.31-3.32, 6 Sn 3.31
Sn 0.1665 0.0000 0.0000  3 Co 2.59


What is the formula in the second record?
La5CoSn2


Please write out number 2 again, unchanged.
# La5CoSn2

An optimized crystal structure of La5CoSn2 (PBE-GGA, Alexandria).

Output
**Space-group type**: Pnma, No. 62
**ΔE to the lowest computed polymorph**: 0 meV/atom
**ρ**: 6.64 g/cm³
**Energy relative to the elements**: -541 meV per atom

Cell: 8.3176 9.2874 12.8342 Å, 90.00 90.00 90.00°
With the nearest neighbours (Å) after each atom.
Positions (direct):
La 0.3215 0.9725 0.5650  2 Co 2.80-3.11
La 0.8744 0.2500 0.1989  1 Co 2.89
La 0.1785 0.5275 0.0650  2 Co 2.80-3.11
La 0.6785 0.0275 0.4350  2 Co 2.80-3.11
La 0.4528 0.2500 0.0034  1 Co 3.17, 4 Sn 3.27-3.28, 2 La 3.53
La 0.0472 0.2500 0.5034  1 Co 3.17, 4 Sn 3.27-3.28, 2 La 3.53
La 0.5472 0.7500 0.9966  1 Co 3.17, 4 Sn 3.27-3.28, 2 La 3.53
La 0.8494 0.7500 0.2025  1 Co 2.86
La 0.1256 0.7500 0.8011  1 Co 2.89
La 0.3215 0.5275 0.5650  2 Co 2.80-3.11
La 0.8215 0.4725 0.9350  2 Co 2.80-3.11
La 0.1785 0.9725 0.0650  2 Co 2.80-3.11
La 0.6256 0.2500 0.6989  1 Co 2.89
La 0.1506 0.2500 0.7975  1 Co 2.86
La 0.6785 0.4725 0.4350  2 Co 2.80-3.11
La 0.9528 0.7500 0.4966  1 Co 3.17, 4 Sn 3.27-3.28, 2 La 3.53
La 0.3494 0.2500 0.2975  1 Co 2.86
La 0.3744 0.7500 0.3011  1 Co 2.89
La 0.8215 0.0275 0.9350  2 Co 2.80-3.11
La 0.6506 0.7500 0.7025  1 Co 2.86
Sn 0.5739 0.0057 0.1710  8 La 3.27-3.57
Sn 0.4261 0.9943 0.8290  8 La 3.27-3.57
Sn 0.9261 0.4943 0.6710  8 La 3.27-3.57
Sn 0.4261 0.5057 0.8290  8 La 3.27-3.57
Sn 0.9261 0.0057 0.6710  8 La 3.27-3.57
Sn 0.5739 0.4943 0.1710  8 La 3.27-3.57
Sn 0.0739 0.9943 0.3290  8 La 3.27-3.57
Sn 0.0739 0.5057 0.3290  8 La 3.27-3.57
Co 0.0726 0.2500 0.0144  6 La 2.80-3.11
Co 0.5726 0.7500 0.4856  6 La 2.80-3.11
Co 0.4274 0.2500 0.5144  6 La 2.80-3.11
Co 0.9274 0.7500 0.9856  6 La 2.80-3.11


Among the records above, which one has the highest energy relative to the elements?
number 5